Compound: CdSi2Ni
Source: Alexandria
Functional: GGA-PBE
Structure: optimized geometry

a = 5.895 Å, b = 5.895 Å, c = 5.895 Å
α = 154.05°, β = 134.13°, γ = 53.45°
Fractional coordinates of all 4 atoms:
Si 0.056 0.056 0.000
Si 0.444 0.444 0.000
Ni 0.250 0.750 0.500
Cd 0.750 0.250 0.500

## Properties
ρ, g cm⁻³: 5.9
M_tot, Bohr magnetons per cell: 0.0
Formation energy without anion corrections, eV per formula unit: 0.57
Space-group type: No. 71

=====

Compound: Pm2VIn
Source: Alexandria
Functional: GGA-PBE
Structure: optimized geometry

a = 3.349 Å, b = 3.349 Å, c = 11.465 Å
α = 81.60°, β = 81.60°, γ = 60.00°
Fractional coordinates of all 4 atoms:
Pm 0.085 0.085 0.746
Pm 0.915 0.915 0.254
In 0.500 0.500 0.500
V 0.000 0.000 0.000

## Properties
ρ, g cm⁻³: 6.9
M_tot, Bohr magnetons per cell: 3.1
Space-group type: No. 166

=====

Compound: CaRePb2
Source: Alexandria
Functional: GGA-PBE
Structure: optimized geometry

a = 5.198 Å, b = 5.198 Å, c = 5.198 Å
α = 60.00°, β = 60.00°, γ = 60.00°
Fractional coordinates of all 4 atoms:
Pb 0.250 0.250 0.250
Pb 0.000 0.000 0.000
Ca 0.500 0.500 0.500
Re 0.750 0.750 0.750

## Properties
ρ, g cm⁻³: 10.7
M_tot, Bohr magnetons per cell: 1.4
Space-group type: No. 216
Energy above the lowest structure with this stoichiometry, eV per atom: 0.4049

=====

| no. | electronic total energy (eV/atom) |
| --- | --- |
| 1 | -4.242 |
| 2 | -4.851 |
| 3 | -4.683 |